(1)
A plane-wave DFT calculation with PBE-GGA was carried out for a relaxed structure of TlC.

Unit cell a=4.9041 b=4.9041 c=4.9041 alpha=90.00 beta=90.00 gamma=90.00
Space group Pm-3m (No. 221)
Unique sites:
Tl: 0.0000 0.0000 0.5000 x3
C: 0.0000 0.5000 0.5000 x3

As for the volume: 19.66 Å³/atom. As for the polymorph energy (0 for the lowest one): 1736.3 meV/atom. The calculation puts the energy relative to the elements at 2.52 eV per atom.


(2)
A plane-wave DFT calculation with PBE-GGA was carried out for a relaxed structure of LaPmPr3.

Unit cell a=17.8613 b=6.9850 c=6.1878 alpha=90.00 beta=110.14 gamma=90.00
Space group C2/m (No. 12)
Unique sites:
La: 0.0000 0.0000 0.0000 x2
La: 0.0000 0.0000 0.5000 x2
Pm: 0.0490 0.5000 0.2989 x4
Pr: 0.1528 0.2657 0.9024 x8
Pr: 0.2259 0.0000 0.4751 x4

As for the volume: 36.24 Å³/atom. As for the polymorph energy (0 for the lowest one): 0.0 meV/atom. The calculation puts the energy relative to the elements at 0.17 eV per atom.


(3)
A plane-wave DFT calculation with PBE-GGA was carried out for a relaxed structure of CrCo2Os2.

Unit cell a=6.9415 b=6.9415 c=2.6406 alpha=90.00 beta=90.00 gamma=90.00
Space group P4/mbm (No. 127)
Unique sites:
Cr: 0.0000 0.0000 0.0000 x2
Co: 0.1187 0.3813 0.0000 x4
Os: 0.1780 0.6780 0.5000 x4

As for the volume: 12.72 Å³/atom. The calculation puts the energy relative to the elements at 0.33 eV per atom.


(4)
A plane-wave DFT calculation with PBE-GGA was carried out for a relaxed structure of TaCrOs3.

Unit cell a=4.4091 b=4.4091 c=4.4091 alpha=90.00 beta=90.00 gamma=90.00
Space group Pm-3m (No. 221)
Unique sites:
Ta: 0.0000 0.0000 0.0000 x1
Cr: 0.5000 0.5000 0.5000 x1
Os: 0.0000 0.5000 0.5000 x3

As for the volume: 17.14 Å³/atom. As for the polymorph energy (0 for the lowest one): 0.0 meV/atom. The calculation puts the energy relative to the elements at 1.41 eV per atom.


(5)
A plane-wave DFT calculation with PBE-GGA was carried out for a relaxed structure of Be2ZnPt2.

Unit cell a=3.1462 b=3.1462 c=12.9107 alpha=90.00 beta=90.00 gamma=90.00
Space group I4/mmm (No. 139)
Unique sites:
Be: 0.0000 0.5000 0.2500 x4
Zn: 0.0000 0.0000 0.0000 x2
Pt: 0.0000 0.0000 0.3833 x4

As for the volume: 12.78 Å³/atom. As for the polymorph energy (0 for the lowest one): 130.1 meV/atom. The calculation puts the energy relative to the elements at -0.50 eV per atom.


(6)
A plane-wave DFT calculation with PBE-GGA was carried out for a relaxed structure of Al2TeSeI.

Unit cell a=5.8315 b=5.8315 c=5.2222 alpha=90.00 beta=90.00 gamma=90.00
Space group P4/mmm (No. 123)
Unique sites:
Al: 0.0000 0.5000 0.0000 x2
Te: 0.0000 0.0000 0.5000 x1
Se: 0.5000 0.5000 0.5000 x1
I: 0.5000 0.5000 0.0000 x1

As for the uncorrected formation energy: 802 meV/atom. As for the volume: 35.52 Å³/atom.


(7)
A plane-wave DFT calculation with PBE-GGA was carried out for a relaxed structure of Mn5Br3.

Unit cell a=9.4957 b=9.4957 c=4.9995 alpha=90.00 beta=90.00 gamma=120.00
Space group P6_3/mcm (No. 193)
Unique sites:
Mn: 0.0000 0.1608 0.2500 x6
Mn: 0.3333 0.6667 0.0000 x4
Br: 0.0000 0.3406 0.7500 x6

As for the uncorrected formation energy: 579 meV/atom. As for the volume: 24.40 Å³/atom.


(8)
A plane-wave DFT calculation with PBE-GGA was carried out for a relaxed structure of NbVTe2Se.

Unit cell a=5.0357 b=5.0357 c=4.8369 alpha=90.00 beta=90.00 gamma=90.00
Space group P4/mmm (No. 123)
Unique sites:
Nb: 0.0000 0.0000 0.0000 x1
V: 0.0000 0.0000 0.5000 x1
Te: 0.0000 0.5000 0.5000 x2
Se: 0.5000 0.5000 0.0000 x1

As for the uncorrected formation energy: 677 meV/atom. As for the volume: 24.53 Å³/atom.


(9)
A plane-wave DFT calculation with PBE-GGA was carried out for a relaxed structure of Tl.

Unit cell a=3.9534 b=3.9534 c=3.9534 alpha=90.00 beta=90.00 gamma=90.00
Space group Im-3m (No. 229)
Unique sites:
Tl: 0.0000 0.0000 0.0000 x2

As for the volume: 30.90 Å³/atom. As for the polymorph energy (0 for the lowest one): 0.0 meV/atom. The calculation puts the energy relative to the elements at 0.00 eV per atom.


(10)
A plane-wave DFT calculation with PBE-GGA was carried out for a relaxed structure of BaCdSi2.

Unit cell a=4.3026 b=3.8575 c=6.8033 alpha=90.00 beta=108.39 gamma=90.00
Space group Pm (No. 6)
Unique sites:
Ba: 0.0000 0.0000 0.0000 x1
Cd: 0.2909 0.5000 0.5832 x1
Si: 0.6278 0.5000 0.2594 x1
Si: 0.7415 0.0000 0.4851 x1

As for the uncorrected formation energy: -90 meV/atom. As for the volume: 26.79 Å³/atom.


(11)
A plane-wave DFT calculation with PBE-GGA was carried out for a relaxed structure of BaAgHg2Cl8.

Unit cell a=6.6158 b=6.6158 c=9.1016 alpha=90.00 beta=90.00 gamma=120.00
Space group P-3 (No. 147)
Unique sites:
Ba: 0.0000 0.0000 0.0000 x1
Ag: 0.0000 0.0000 0.5000 x1
Hg: 0.3333 0.6667 0.7284 x2
Cl: 0.0357 0.7181 0.3131 x6
Cl: 0.3333 0.6667 0.0090 x2

As for the uncorrected formation energy: -906 meV/atom. As for the volume: 28.75 Å³/atom.


(12)
A plane-wave DFT calculation with PBE-GGA was carried out for a relaxed structure of CoPb.

Unit cell a=3.5682 b=3.5682 c=7.9324 alpha=90.00 beta=90.00 gamma=120.00
Space group P-3m1 (No. 164)
Unique sites:
Co: 0.3333 0.6667 0.0581 x2
Pb: 0.3333 0.6667 0.6902 x2

As for the volume: 21.87 Å³/atom. The calculation puts the energy relative to the elements at 0.44 eV per atom.